Entry 1:
Entry from Alexandria via LeMat-Bulk: a geometry-optimized CeNd2In3Te6 structure (PBE).

As for the total energy: -4.511 eV/atom.

a b c (Å): 7.853 13.601 8.537
angles (deg): 90.00 107.85 90.00
Space group C2/m (No. 12)
One atom of each set of equivalent atoms:
Ce  0.000  0.000  0.000 [2 per cell]
Nd  0.000  0.333  0.000 [4 per cell]
In  0.000  0.167  0.500 [4 per cell]
In  0.000  0.500  0.500 [2 per cell]
Te  0.242  0.167  0.226 [8 per cell]
Te  0.242  0.500  0.226 [4 per cell]

Entry 2:
Entry from Alexandria via LeMat-Bulk: a geometry-optimized CeNdThIn structure (PBE).

Its formation energy from the elements is -0.033 eV/atom.

a b c (Å): 7.798 7.798 7.798
angles (deg): 90.00 90.00 90.00
Space group F-43m (No. 216)
One atom of each set of equivalent atoms:
Ce  0.000  0.000  0.000 [4 per cell]
Nd  0.250  0.250  0.250 [4 per cell]
Th  0.250  0.250  0.750 [4 per cell]
In  0.000  0.000  0.500 [4 per cell]

Entry 3:
Entry from Alexandria via LeMat-Bulk: a geometry-optimized CeNdYIn structure (PBE).

Its formation energy from the elements is -0.086 eV/atom.

a b c (Å): 7.739 7.739 7.739
angles (deg): 90.00 90.00 90.00
Space group F-43m (No. 216)
One atom of each set of equivalent atoms:
Ce  0.000  0.000  0.000 [4 per cell]
Nd  0.250  0.250  0.750 [4 per cell]
Y  0.250  0.250  0.250 [4 per cell]
In  0.000  0.000  0.500 [4 per cell]

Entry 4:
Entry from Alexandria via LeMat-Bulk: a geometry-optimized CeNdZn2In2 structure (PBE).

Its formation energy from the elements is -0.388 eV/atom.

a b c (Å): 4.7714 4.7714 7.4329
angles (deg): 90.00 90.00 120.00
Space group P-3m1 (No. 164)
One atom of each set of equivalent atoms:
Ce  0.0000  0.0000  0.0000 [1 per cell]
Nd  0.0000  0.0000  0.5000 [1 per cell]
Zn  0.3333  0.6667  0.2281 [2 per cell]
In  0.3333  0.6667  0.7618 [2 per cell]

Entry 5:
Entry from Alexandria via LeMat-Bulk: a geometry-optimized CeNdZnIn structure (PBE).

Its formation energy from the elements is -0.294 eV/atom.

a b c (Å): 7.569 7.569 7.569
angles (deg): 90.00 90.00 90.00
Space group F-43m (No. 216)
One atom of each set of equivalent atoms:
Ce  0.000  0.000  0.000 [4 per cell]
Nd  0.000  0.000  0.500 [4 per cell]
Zn  0.250  0.250  0.750 [4 per cell]
In  0.250  0.250  0.250 [4 per cell]

Entry 6:
Entry from Alexandria via LeMat-Bulk: a geometry-optimized Ce3InNi structure (PBE).

Its formation energy from the elements is -0.108 eV/atom. The value obtained for the offset from the most stable computed form is 0.084 eV per atom.

a b c (Å): 5.242 5.242 5.242
angles (deg): 90.00 90.00 90.00
Space group Pm-3m (No. 221)
One atom of each set of equivalent atoms:
Ce  0.000  0.000  0.500 [3 per cell]
In  0.500  0.500  0.500 [1 per cell]
Ni  0.000  0.000  0.000 [1 per cell]

Entry 7:
Entry from Alexandria via LeMat-Bulk: a geometry-optimized CeIn2Ni2 structure (PBE).

Its formation energy from the elements is -0.356 eV/atom.

a b c (Å): 10.043 3.901 5.248
angles (deg): 90.00 105.08 90.00
Space group C2/m (No. 12)
One atom of each set of equivalent atoms:
Ce  0.000  0.000  0.000 [2 per cell]
In  0.150  0.500  0.582 [4 per cell]
Ni  0.205  0.500  0.109 [4 per cell]

Entry 8:
Entry from Alexandria via LeMat-Bulk: a geometry-optimized Ce3InNi structure (PBE).

Its formation energy from the elements is -0.147 eV/atom. The value obtained for the offset from the most stable computed form is 0.045 eV per atom.

a b c (Å): 6.896 8.149 8.724
angles (deg): 90.00 90.00 90.00
Space group Immm (No. 71)
One atom of each set of equivalent atoms:
Ce  0.000  0.198  0.000 [4 per cell]
Ce  0.239  0.500  0.293 [8 per cell]
In  0.000  0.205  0.500 [4 per cell]
Ni  0.180  0.500  0.000 [4 per cell]

Entry 9:
Entry from Alexandria via LeMat-Bulk: a geometry-optimized CeInNi4 structure (PBE).

Its formation energy from the elements is -0.371 eV/atom.

a b c (Å): 7.107 7.107 7.107
angles (deg): 90.00 90.00 90.00
Space group F-43m (No. 216)
One atom of each set of equivalent atoms:
Ce  0.000  0.000  0.000 [4 per cell]
In  0.250  0.250  0.750 [4 per cell]
Ni  0.124  0.124  0.376 [16 per cell]

Entry 10:
Entry from Alexandria via LeMat-Bulk: a geometry-optimized CeIn3Ni structure (PBE).

Its formation energy from the elements is -0.318 eV/atom. The value obtained for the offset from the most stable computed form is 0.000 eV per atom.

a b c (Å): 8.925 4.435 11.485
angles (deg): 90.00 90.00 90.00
Space group Pnma (No. 62)
One atom of each set of equivalent atoms:
Ce  0.189  0.250  0.005 [4 per cell]
In  0.060  0.250  0.583 [4 per cell]
In  0.114  0.750  0.798 [4 per cell]
In  0.139  0.750  0.213 [4 per cell]
Ni  0.104  0.250  0.356 [4 per cell]

Entry 11:
Entry from Alexandria via LeMat-Bulk: a geometry-optimized Ce3InNi8 structure (PBE).

Its formation energy from the elements is -0.378 eV/atom.

a b c (Å): 5.0412 5.0412 24.8308
angles (deg): 90.00 90.00 120.00
Space group R3m (No. 160, hexagonal axes)
One atom of each set of equivalent atoms:
Ce  0.0000  0.0000  0.0000 [3 per cell]
Ce  0.0000  0.0000  0.1258 [3 per cell]
Ce  0.0000  0.0000  0.6247 [3 per cell]
In  0.0000  0.0000  0.5003 [3 per cell]
Ni  0.0000  0.0000  0.3132 [3 per cell]
Ni  0.0000  0.0000  0.8136 [3 per cell]
Ni  0.0010  0.5005  0.5624 [9 per cell]
Ni  0.0027  0.5013  0.0640 [9 per cell]

Entry 12:
Entry from Alexandria via LeMat-Bulk: a geometry-optimized Ce6In2Ni structure (PBE).

Its formation energy from the elements is -0.197 eV/atom.

a b c (Å): 11.953 6.961 6.959
angles (deg): 90.00 125.40 90.00
Space group C2/m (No. 12)
One atom of each set of equivalent atoms:
Ce  0.001  0.233  0.234 [8 per cell]
Ce  0.221  0.000  0.224 [4 per cell]
In  0.250  0.000  0.752 [4 per cell]
Ni  0.000  0.500  0.500 [2 per cell]

no.,Fermi-level density of states (states/eV/cell)
1,17.096
2,31.580
3,26.221
4,7.841
5,42.611
6,15.628
7,10.141
8,48.611
9,28.074
10,29.000
11,44.596
12,43.443